Version a
Below is a geometry-optimized LiAg5Au4 structure, with properties calculated at the GGA-PBE level.

Cell lengths 5.0745, 5.9073, 6.4151 Å; angles 103.09, 104.38, 72.95 degrees
Atoms (fractional coordinates):
Li  0.5000  0.0000  0.0000
Ag  0.3022  0.1984  0.6029
Ag  0.1014  0.3976  0.1989
Ag  0.8986  0.6024  0.8011
Ag  0.5000  0.5000  0.0000
Ag  0.6978  0.8016  0.3971
Au  0.6961  0.2974  0.3975
Au  0.0971  0.9019  0.1965
Au  0.3039  0.7026  0.6025
Au  0.9029  0.0981  0.8035

Output
Space-group type: P-1 (2)
Theoretical density (g/cm3): 12.6
M_tot (μB per formula unit): 0.000

Version b
Below is a geometry-optimized LiAg5Au4 structure, with properties calculated at the GGA-PBE level.

Cell lengths 2.8496, 9.0162, 7.4228 Å; angles 105.34, 101.07, 90.00 degrees
Atoms (fractional coordinates):
Li  0.5000  0.0000  0.0000
Ag  0.1087  0.2926  0.2173
Ag  0.2052  0.6032  0.4104
Ag  0.7948  0.3968  0.5896
Ag  0.5000  0.5000  0.0000
Ag  0.8913  0.7074  0.7827
Au  0.6911  0.0815  0.3822
Au  0.9120  0.1973  0.8241
Au  0.3089  0.9185  0.6178
Au  0.0880  0.8027  0.1759

Output
Space-group type: C2/m (12)
Theoretical density (g/cm3): 12.3
M_tot (μB per formula unit): 0.000

So which one is most stable? That would be version a, about 60 meV/atom below the next structure.

Version a
Below is a geometry-optimized LiAg6Au structure, with properties calculated at the GGA-PBE level.

Cell lengths 7.2126, 7.7406, 5.2907 Å; angles 42.80, 47.19, 57.64 degrees
Atoms (fractional coordinates):
Li  0.5000  0.5000  0.5000
Ag  0.9408  0.4640  0.8434
Ag  0.7518  0.9423  0.7699
Ag  0.4624  0.2479  0.3498
Ag  0.2482  0.0577  0.2301
Ag  0.0592  0.5360  0.1566
Ag  0.5376  0.7521  0.6502
Au  0.0000  0.0000  0.0000

Output
Space-group type: P-1 (2)
Theoretical density (g/cm3): 9.6
M_tot (μB per formula unit): 0.000

Version b
Below is a geometry-optimized LiAg6Au structure, with properties calculated at the GGA-PBE level.

Cell lengths 4.0727, 5.8654, 5.8654 Å; angles 90.01, 90.00, 90.00 degrees
Atoms (fractional coordinates):
Li  0.5000  0.0000  0.0000
Ag  0.0000  0.7546  0.2454
Ag  0.0000  0.2454  0.7546
Ag  0.0000  0.7551  0.7551
Ag  0.0000  0.2449  0.2449
Ag  0.5000  0.5000  0.0000
Ag  0.5000  0.0000  0.5000
Au  0.5000  0.5000  0.5000

Output
Space-group type: P4/mmm (123)
Theoretical density (g/cm3): 10.1
M_tot (μB per formula unit): 0.000

So which one is most stable? That would be version b, about 62 meV/atom below the next structure.

Version a
Below is a geometry-optimized LiAg4Au2 structure, with properties calculated at the GGA-PBE level.

Cell lengths 5.6123, 6.9706, 7.3928 Å; angles 119.56, 90.00, 90.00 degrees
Atoms (fractional coordinates):
Li  0.2500  0.7342  0.6724
Li  0.7500  0.2658  0.3276
Ag  0.4989  0.4178  0.7654
Ag  0.2500  0.8509  0.0809
Ag  0.7500  0.1491  0.9191
Ag  0.0011  0.4178  0.7654
Ag  0.7500  0.9960  0.4846
Ag  0.9989  0.5822  0.2346
Ag  0.5011  0.5822  0.2346
Ag  0.2500  0.0040  0.5154
Au  0.2500  0.1788  0.9502
Au  0.7500  0.8212  0.0498
Au  0.7500  0.6800  0.6198
Au  0.2500  0.3200  0.3802

Output
Space-group type: P2_1/m (11)
Theoretical density (g/cm3): 11.0
M_tot (μB per formula unit): 0.000

Version b
Below is a geometry-optimized LiAg4Au2 structure, with properties calculated at the GGA-PBE level.

Cell lengths 7.5410, 5.5924, 7.6973 Å; angles 119.39, 97.96, 110.60 degrees
Atoms (fractional coordinates):
Li  0.2170  0.9404  0.5155
Li  0.8114  0.0229  0.9893
Ag  0.1033  0.3168  0.4146
Ag  0.2400  0.4558  0.1301
Ag  0.0782  0.7923  0.7974
Ag  0.5268  0.7457  0.5610
Ag  0.3638  0.0778  0.2277
Ag  0.5077  0.2221  0.9392
Ag  0.3880  0.6030  0.8449
Ag  0.9357  0.6459  0.0819
Au  0.6425  0.3635  0.6544
Au  0.6759  0.8897  0.2714
Au  0.8022  0.5080  0.3664
Au  0.9575  0.1661  0.7061

Output
Space-group type: P1 (1)
Theoretical density (g/cm3): 11.3
M_tot (μB per formula unit): 0.000

So which one is most stable? That would be version b, about 44 meV/atom below the next structure.

Version a
Below is a geometry-optimized LiAg8Au2 structure, with properties calculated at the GGA-PBE level.

Cell lengths 4.9899, 7.1194, 7.1194 Å; angles 59.52, 76.47, 76.47 degrees
Atoms (fractional coordinates):
Li  0.0000  0.0000  0.0000
Ag  0.2046  0.3701  0.7614
Ag  0.7954  0.2386  0.6299
Ag  0.0725  0.7749  0.7749
Ag  0.9275  0.2251  0.2251
Ag  0.2046  0.7614  0.3701
Ag  0.7954  0.6299  0.2386
Ag  0.6561  0.6478  0.6478
Ag  0.3439  0.3522  0.3522
Au  0.4949  0.8839  0.8839
Au  0.5051  0.1161  0.1161

Output
Space-group type: C2/m (12)
Theoretical density (g/cm3): 10.0
M_tot (μB per formula unit): 0.000

Version b
Below is a geometry-optimized LiAg8Au2 structure, with properties calculated at the GGA-PBE level.

Cell lengths 4.1647, 6.4794, 7.7156 Å; angles 104.25, 105.66, 90.00 degrees
Atoms (fractional coordinates):
Li  0.5000  0.0000  0.0000
Ag  0.5894  0.4505  0.1789
Ag  0.3195  0.0900  0.6390
Ag  0.1338  0.1792  0.2676
Ag  0.0456  0.7303  0.0913
Ag  0.8662  0.8208  0.7324
Ag  0.6805  0.9100  0.3610
Ag  0.4106  0.5495  0.8211
Ag  0.9544  0.2697  0.9087
Au  0.2274  0.6374  0.4547
Au  0.7726  0.3626  0.5453

Output
Space-group type: C2/m (12)
Theoretical density (g/cm3): 10.8
M_tot (μB per formula unit): 0.000

So which one is most stable? That would be version b, about 149 meV/atom below the next structure.

Version a
Below is a geometry-optimized Li3AgAu structure, with properties calculated at the GGA-PBE level.

Cell lengths 4.8100, 4.8100, 4.8100 Å; angles 90.00, 90.00, 90.00 degrees
Atoms (fractional coordinates):
Au  0.0000  0.0000  0.0000
Ag  0.5000  0.5000  0.5000
Li  0.0000  0.5000  0.0000
Li  0.0000  0.0000  0.5000
Li  0.5000  0.0000  0.0000

Output
Space-group type: Pm-3m (221)
Theoretical density (g/cm3): 4.9
M_tot (μB per formula unit): 0.000

Version b
Below is a geometry-optimized Li3AgAu structure, with properties calculated at the GGA-PBE level.

Cell lengths 2.9521, 9.2351, 6.2216 Å; angles 90.00, 90.00, 81.09 degrees
Atoms (fractional coordinates):
Li  0.5828  0.3308  0.0377
Li  0.4172  0.6692  0.9623
Li  0.5828  0.3308  0.4623
Li  0.4172  0.6692  0.5377
Li  0.1922  0.1294  0.7500
Li  0.8078  0.8706  0.2500
Ag  0.8149  0.8799  0.7500
Ag  0.1851  0.1201  0.2500
Au  0.0185  0.4616  0.7500
Au  0.9815  0.5384  0.2500

Output
Space-group type: P2_1/m (11)
Theoretical density (g/cm3): 6.5
M_tot (μB per formula unit): 0.000

So which one is most stable? That would be version b, about 239 meV/atom below the next structure.

Version a
Below is a geometry-optimized Li7AgAu4 structure, with properties calculated at the GGA-PBE level.

Cell lengths 4.7332, 7.4133, 6.8337 Å; angles 67.94, 69.74, 71.38 degrees
Atoms (fractional coordinates):
Li  0.7910  0.8783  0.5396
Li  0.2090  0.1217  0.4604
Li  0.0707  0.5939  0.2646
Li  0.9293  0.4061  0.7354
Li  0.2442  0.7209  0.7908
Li  0.5000  0.0000  0.0000
Li  0.7558  0.2791  0.2092
Ag  0.0000  0.0000  0.0000
Au  0.5642  0.2652  0.6063
Au  0.4358  0.7348  0.3937
Au  0.6860  0.6463  0.9817
Au  0.3140  0.3537  0.0183

Output
Space-group type: C2/m (12)
Theoretical density (g/cm3): 7.7
M_tot (μB per formula unit): 0.000

Version b
Below is a geometry-optimized Li7AgAu4 structure, with properties calculated at the GGA-PBE level.

Cell lengths 5.6067, 4.9440, 8.1855 Å; angles 74.97, 61.88, 90.70 degrees
Atoms (fractional coordinates):
Li  0.7379  0.5004  0.0091
Li  0.2621  0.4996  0.9909
Li  0.0184  0.3346  0.6509
Li  0.9816  0.6654  0.3491
Li  0.2711  0.8371  0.6544
Li  0.5000  0.0000  0.0000
Li  0.7289  0.1629  0.3456
Ag  0.0000  0.0000  0.0000
Au  0.5066  0.6715  0.3239
Au  0.4934  0.3285  0.6761
Au  0.7630  0.8247  0.6838
Au  0.2370  0.1753  0.3162

Output
Space-group type: P-1 (2)
Theoretical density (g/cm3): 8.2
M_tot (μB per formula unit): 0.000

So which one is most stable? That would be version b, about 91 meV/atom below the next structure.

Version a
Below is a geometry-optimized Li7Ag3Au2 structure, with properties calculated at the GGA-PBE level.

Cell lengths 4.1333, 4.3923, 11.5995 Å; angles 100.91, 90.00, 90.00 degrees
Atoms (fractional coordinates):
Li  0.0000  0.4192  0.8385
Li  0.0000  0.7240  0.4481
Li  0.0000  0.0000  0.0000
Li  0.0000  0.5808  0.1615
Li  0.5000  0.0837  0.1674
Li  0.5000  0.9163  0.8326
Li  0.0000  0.2760  0.5519
Ag  0.5000  0.5000  0.0000
Ag  0.5000  0.6542  0.3084
Ag  0.5000  0.3458  0.6916
Au  0.0000  0.8447  0.6894
Au  0.0000  0.1553  0.3106

Output
Space-group type: Cmmm (65)
Theoretical density (g/cm3): 6.2
M_tot (μB per formula unit): 0.000

Version b
Below is a geometry-optimized Li7Ag3Au2 structure, with properties calculated at the GGA-PBE level.

Cell lengths 2.8494, 4.6490, 15.6806 Å; angles 98.29, 90.00, 90.00 degrees
Atoms (fractional coordinates):
Li  0.5000  0.7283  0.4559
Li  0.5000  0.2717  0.5441
Li  0.0000  0.5731  0.1446
Li  0.0000  0.0000  0.0000
Li  0.0000  0.4269  0.8554
Li  0.5000  0.8925  0.7853
Li  0.5000  0.1075  0.2147
Ag  0.5000  0.5000  0.0000
Ag  0.0000  0.1909  0.3820
Ag  0.0000  0.8091  0.6180
Au  0.5000  0.6441  0.2891
Au  0.5000  0.3559  0.7109

Output
Space-group type: P2/m (10)
Theoretical density (g/cm3): 6.2
M_tot (μB per formula unit): 0.000

So which one is most stable? That would be version b, about 35 meV/atom below the next structure.

Version a
Below is a geometry-optimized Li2Ag7Au2 structure, with properties calculated at the GGA-PBE level.

Cell lengths 5.4248, 6.2694, 6.2694 Å; angles 100.13, 78.58, 78.58 degrees
Atoms (fractional coordinates):
Li  0.5000  0.3346  0.6654
Li  0.5000  0.6654  0.3346
Ag  0.2054  0.0699  0.5777
Ag  0.7946  0.4223  0.9301
Ag  0.7946  0.9301  0.4223
Ag  0.2054  0.5777  0.0699
Ag  0.0000  0.0000  0.0000
Ag  0.5317  0.8050  0.8050
Ag  0.4683  0.1950  0.1950
Au  0.9081  0.3588  0.3588
Au  0.0919  0.6412  0.6412

Output
Space-group type: C2/m (12)
Theoretical density (g/cm3): 9.7
M_tot (μB per formula unit): 0.000

Version b
Below is a geometry-optimized Li2Ag7Au2 structure, with properties calculated at the GGA-PBE level.

Cell lengths 4.1875, 7.3722, 7.3722 Å; angles 70.05, 73.55, 73.55 degrees
Atoms (fractional coordinates):
Li  0.6671  0.8326  0.8326
Li  0.3329  0.1674  0.1674
Ag  0.1670  0.0903  0.5766
Ag  0.8330  0.4234  0.9097
Ag  0.8330  0.9097  0.4234
Ag  0.1670  0.5766  0.0903
Ag  0.0000  0.0000  0.0000
Ag  0.6535  0.3459  0.3459
Ag  0.3465  0.6541  0.6541
Au  0.5000  0.7667  0.2333
Au  0.5000  0.2333  0.7667

Output
Space-group type: Immm (71)
Theoretical density (g/cm3): 9.6
M_tot (μB per formula unit): 0.000

So which one is most stable? That would be version b, about 49 meV/atom below the next structure.

Version a
Below is a geometry-optimized Li4Ag3Au2 structure, with properties calculated at the GGA-PBE level.

Cell lengths 4.0844, 6.1926, 6.5672 Å; angles 107.81, 108.12, 90.00 degrees
Atoms (fractional coordinates):
Li  0.5446  0.3124  0.0891
Li  0.7769  0.6880  0.5537
Li  0.4554  0.6876  0.9109
Li  0.2231  0.3120  0.4463
Ag  0.8884  0.3500  0.7769
Ag  0.1116  0.6500  0.2231
Ag  0.0000  0.0000  0.0000
Au  0.3331  0.9866  0.6663
Au  0.6669  0.0134  0.3337

Output
Space-group type: C2/m (12)
Theoretical density (g/cm3): 8.3
M_tot (μB per formula unit): 0.000

Version b
Below is a geometry-optimized Li4Ag3Au2 structure, with properties calculated at the GGA-PBE level.

Cell lengths 4.1928, 4.7133, 8.3681 Å; angles 79.72, 90.00, 63.58 degrees
Atoms (fractional coordinates):
Li  0.6644  0.6719  0.8913
Li  0.0067  0.9852  0.3314
Li  0.9933  0.0148  0.6686
Li  0.3356  0.3281  0.1087
Ag  0.3335  0.3328  0.4353
Ag  0.0000  0.0000  0.0000
Ag  0.6665  0.6672  0.5647
Au  0.3281  0.3445  0.7836
Au  0.6719  0.6555  0.2164

Output
Space-group type: C2/m (12)
Theoretical density (g/cm3): 8.5
M_tot (μB per formula unit): 0.000

So which one is most stable? That would be version b, about 41 meV/atom below the next structure.

Version a
Below is a geometry-optimized LiAg7Au4 structure, with properties calculated at the GGA-PBE level.

Cell lengths 4.9597, 9.2536, 5.7643 Å; angles 82.84, 64.52, 74.46 degrees
Atoms (fractional coordinates):
Li  0.0000  0.0000  0.0000
Ag  0.7978  0.9187  0.4857
Ag  0.2022  0.0813  0.5143
Ag  0.0374  0.6195  0.3058
Ag  0.9626  0.3805  0.6942
Ag  0.3436  0.5458  0.7671
Ag  0.5000  0.0000  0.0000
Ag  0.6564  0.4542  0.2329
Au  0.5818  0.2253  0.6112
Au  0.4182  0.7747  0.3888
Au  0.7225  0.6914  0.8635
Au  0.2775  0.3086  0.1365

Output
Space-group type: C2/m (12)
Theoretical density (g/cm3): 11.2
M_tot (μB per formula unit): 0.000

Version b
Below is a geometry-optimized LiAg7Au4 structure, with properties calculated at the GGA-PBE level.

Cell lengths 4.9327, 5.5339, 9.7433 Å; angles 77.25, 57.87, 92.40 degrees
Atoms (fractional coordinates):
Li  0.0000  0.0000  0.0000
Ag  0.8377  0.5184  0.9164
Ag  0.1623  0.4816  0.0836
Ag  0.0962  0.1817  0.6467
Ag  0.9038  0.8183  0.3533
Ag  0.1769  0.7156  0.5693
Ag  0.5000  0.0000  0.0000
Ag  0.8231  0.2844  0.4307
Au  0.5024  0.6172  0.2514
Au  0.4976  0.3828  0.7486
Au  0.4933  0.8762  0.7332
Au  0.5067  0.1238  0.2668

Output
Space-group type: P-1 (2)
Theoretical density (g/cm3): 11.9
M_tot (μB per formula unit): 0.000

So which one is most stable? That would be version b, about 99 meV/atom below the next structure.

Version a
Below is a geometry-optimized Li5AgAu structure, with properties calculated at the GGA-PBE level.

Cell lengths 4.2049, 4.2049, 6.9794 Å; angles 90.00, 90.00, 90.00 degrees
Atoms (fractional coordinates):
Li  0.5000  0.0000  0.2375
Li  0.0000  0.5000  0.2375
Li  0.0000  0.0000  0.5000
Li  0.0000  0.5000  0.7625
Li  0.5000  0.0000  0.7625
Ag  0.0000  0.0000  0.0000
Au  0.5000  0.5000  0.5000

Output
Space-group type: P4/mmm (123)
Theoretical density (g/cm3): 4.6
M_tot (μB per formula unit): 0.000

Version b
Below is a geometry-optimized Li5AgAu structure, with properties calculated at the GGA-PBE level.

Cell lengths 4.8893, 4.8893, 10.1267 Å; angles 82.27, 82.27, 89.49 degrees
Atoms (fractional coordinates):
Li  0.5090  0.9295  0.1346
Li  0.4882  0.2157  0.5613
Li  0.9295  0.5090  0.6346
Li  0.9933  0.0067  0.2500
Li  0.7843  0.5118  0.9387
Li  0.2157  0.4882  0.0613
Li  0.0067  0.9933  0.7500
Li  0.0705  0.4910  0.3654
Li  0.5118  0.7843  0.4387
Li  0.4910  0.0705  0.8654
Ag  0.6010  0.3990  0.2500
Ag  0.3990  0.6010  0.7500
Au  0.0000  0.0000  0.0000
Au  0.0000  0.0000  0.5000

Output
Space-group type: C2/c (15)
Theoretical density (g/cm3): 4.7
M_tot (μB per formula unit): 0.000

So which one is most stable? That would be version b, about 7 meV/atom below the next structure.